(1)
Compound: NaCoOs
Source: OQMD
Functional: PBE
Structure: optimized geometry

Summary:
As for the total energy: -5.336 eV/atom. As for the space group: No. 216. Its distance to the lowest polymorph of the same formula is 0.000 eV per formula unit.

Cell: 5.7333 5.7333 5.7333 Å, 90.00 90.00 90.00°
Atoms (fractional coordinates):
Na (0.0000, 0.0000, 0.0000)
Na (0.0000, 0.5000, 0.5000)
Na (0.5000, 0.0000, 0.5000)
Na (0.5000, 0.5000, 0.0000)
Co (0.2500, 0.2500, 0.2500)
Co (0.2500, 0.7500, 0.7500)
Co (0.7500, 0.2500, 0.7500)
Co (0.7500, 0.7500, 0.2500)
Os (0.0000, 0.0000, 0.5000)
Os (0.0000, 0.5000, 0.0000)
Os (0.5000, 0.0000, 0.0000)
Os (0.5000, 0.5000, 0.5000)



(2)
Compound: ErGaNiPt
Source: OQMD
Functional: PBE
Structure: optimized geometry

Summary:
As for the total energy: -5.641 eV/atom. As for the space group: No. 186. Its distance to the lowest polymorph of the same formula is 0.000 eV per formula unit.

Cell: 4.2775 4.2775 8.8136 Å, 90.00 90.00 120.00°
Atoms (fractional coordinates):
Er (0.3333, 0.6667, 0.0000)
Er (0.6667, 0.3333, 0.5000)
Ga (0.0000, 0.0000, 0.2572)
Ga (0.0000, 0.0000, 0.7572)
Ni (0.3333, 0.6667, 0.3260)
Ni (0.6667, 0.3333, 0.8260)
Pt (0.3333, 0.6667, 0.6690)
Pt (0.6667, 0.3333, 0.1690)



(3)
Compound: HfCoHgB
Source: OQMD
Functional: PBE
Structure: optimized geometry

Summary:
As for the total energy: -5.227 eV/atom. As for the space group: No. 216. Its distance to the lowest polymorph of the same formula is 0.979 eV per formula unit.

Cell: 6.2024 6.2024 6.2024 Å, 90.00 90.00 90.00°
Atoms (fractional coordinates):
Hf (0.0000, 0.0000, 0.0000)
Hf (0.0000, 0.5000, 0.5000)
Hf (0.5000, 0.0000, 0.5000)
Hf (0.5000, 0.5000, 0.0000)
Co (0.2500, 0.2500, 0.7500)
Co (0.2500, 0.7500, 0.2500)
Co (0.7500, 0.2500, 0.2500)
Co (0.7500, 0.7500, 0.7500)
Hg (0.2500, 0.2500, 0.2500)
Hg (0.2500, 0.7500, 0.7500)
Hg (0.7500, 0.2500, 0.7500)
Hg (0.7500, 0.7500, 0.2500)
B (0.0000, 0.0000, 0.5000)
B (0.0000, 0.5000, 0.0000)
B (0.5000, 0.0000, 0.0000)
B (0.5000, 0.5000, 0.5000)



(4)
Compound: Ag2Cl3
Source: OQMD
Functional: PBE
Structure: optimized geometry

Summary:
As for the total energy: -2.564 eV/atom. As for the space group: No. 99. Its distance to the lowest polymorph of the same formula is 0.365 eV per formula unit.

Cell: 5.2639 5.2639 4.9846 Å, 90.00 90.00 90.00°
Atoms (fractional coordinates):
Ag (0.0000, 0.0000, 0.0000)
Ag (0.5000, 0.5000, 0.0744)
Cl (0.0000, 0.0000, 0.5024)
Cl (0.0000, 0.5000, 0.0222)
Cl (0.5000, 0.0000, 0.0222)



(5)
Compound: AlCdGaTe2S2
Source: OQMD
Functional: PBE
Structure: optimized geometry

Summary:
As for the total energy: -3.772 eV/atom. As for the space group: No. 5. Its distance to the lowest polymorph of the same formula is 0.000 eV per formula unit.

Cell: 8.2054 11.0205 5.8818 Å, 90.00 132.66 90.00°
Atoms (fractional coordinates):
Al (0.0000, 0.0000, 0.0000)
Al (0.5000, 0.5000, 0.0000)
Cd (0.0000, 0.4931, 0.0000)
Cd (0.5000, 0.9931, 0.0000)
Ga (0.0000, 0.2240, 0.5000)
Ga (0.5000, 0.7240, 0.5000)
Te (0.2108, 0.8465, 0.4681)
Te (0.2892, 0.3465, 0.5319)
Te (0.7108, 0.3465, 0.4681)
Te (0.7892, 0.8465, 0.5319)
S (0.2124, 0.1187, 0.9682)
S (0.2876, 0.6187, 0.0318)
S (0.7124, 0.6187, 0.9682)
S (0.7876, 0.1187, 0.0318)



(6)
Compound: ZnAgGeAu
Source: OQMD
Functional: PBE
Structure: optimized geometry

Summary:
As for the total energy: -2.928 eV/atom. As for the space group: No. 216. Its distance to the lowest polymorph of the same formula is 0.000 eV per formula unit.

Cell: 6.5694 6.5694 6.5694 Å, 90.00 90.00 90.00°
Atoms (fractional coordinates):
Zn (0.0000, 0.0000, 0.0000)
Zn (0.0000, 0.5000, 0.5000)
Zn (0.5000, 0.0000, 0.5000)
Zn (0.5000, 0.5000, 0.0000)
Ag (0.2500, 0.2500, 0.2500)
Ag (0.2500, 0.7500, 0.7500)
Ag (0.7500, 0.2500, 0.7500)
Ag (0.7500, 0.7500, 0.2500)
Ge (0.0000, 0.0000, 0.5000)
Ge (0.0000, 0.5000, 0.0000)
Ge (0.5000, 0.0000, 0.0000)
Ge (0.5000, 0.5000, 0.5000)
Au (0.2500, 0.2500, 0.7500)
Au (0.2500, 0.7500, 0.2500)
Au (0.7500, 0.2500, 0.2500)
Au (0.7500, 0.7500, 0.7500)



(7)
Compound: Dy2Y3Ga3
Source: OQMD
Functional: PBE
Structure: optimized geometry

Summary:
As for the total energy: -4.947 eV/atom. As for the space group: No. 187. Its distance to the lowest polymorph of the same formula is 1.107 eV per formula unit.

Cell: 6.9799 6.9799 4.9032 Å, 90.00 90.00 120.00°
Atoms (fractional coordinates):
Dy (0.0000, 0.0000, 0.0000)
Dy (0.3333, 0.6667, 0.5000)
Y (0.5103, 0.0207, 0.0000)
Y (0.5103, 0.4897, 0.0000)
Y (0.9793, 0.4897, 0.0000)
Ga (0.3516, 0.1758, 0.5000)
Ga (0.8242, 0.1758, 0.5000)
Ga (0.8242, 0.6484, 0.5000)



(8)
Compound: YAgF3
Source: OQMD
Functional: PBE
Structure: optimized geometry

Summary:
As for the total energy: -5.356 eV/atom. As for the space group: No. 167. Its distance to the lowest polymorph of the same formula is 1.937 eV per formula unit.

Cell: 5.6947 5.6947 5.6947 Å, 69.32 69.32 69.32°
Atoms (fractional coordinates):
Y (0.2500, 0.2500, 0.2500)
Y (0.7500, 0.7500, 0.7500)
Ag (0.0000, 0.0000, 0.0000)
Ag (0.5000, 0.5000, 0.5000)
F (0.0742, 0.7500, 0.4258)
F (0.2500, 0.5742, 0.9258)
F (0.4258, 0.0743, 0.7500)
F (0.5742, 0.9258, 0.2500)
F (0.7500, 0.4258, 0.0742)
F (0.9258, 0.2500, 0.5743)



(9)
Compound: HfIn2Pd
Source: OQMD
Functional: PBE
Structure: optimized geometry

Summary:
As for the total energy: -5.329 eV/atom. As for the space group: No. 216.

Cell: 6.8599 6.8599 6.8599 Å, 90.00 90.00 90.00°
Atoms (fractional coordinates):
Hf (0.0000, 0.0000, 0.0000)
Hf (0.0000, 0.5000, 0.5000)
Hf (0.5000, 0.0000, 0.5000)
Hf (0.5000, 0.5000, 0.0000)
In (0.0000, 0.0000, 0.5000)
In (0.0000, 0.5000, 0.0000)
In (0.2500, 0.2500, 0.2500)
In (0.2500, 0.7500, 0.7500)
In (0.5000, 0.0000, 0.0000)
In (0.5000, 0.5000, 0.5000)
In (0.7500, 0.2500, 0.7500)
In (0.7500, 0.7500, 0.2500)
Pd (0.2500, 0.2500, 0.7500)
Pd (0.2500, 0.7500, 0.2500)
Pd (0.7500, 0.2500, 0.2500)
Pd (0.7500, 0.7500, 0.7500)



(10)
Compound: FeTcNiBi
Source: OQMD
Functional: PBE
Structure: optimized geometry

Summary:
As for the total energy: -6.606 eV/atom. As for the space group: No. 216. Its distance to the lowest polymorph of the same formula is 0.000 eV per formula unit.

Cell: 6.2882 6.2882 6.2882 Å, 90.00 90.00 90.00°
Atoms (fractional coordinates):
Fe (0.0000, 0.0000, 0.0000)
Fe (0.0000, 0.5000, 0.5000)
Fe (0.5000, 0.0000, 0.5000)
Fe (0.5000, 0.5000, 0.0000)
Tc (0.2500, 0.2500, 0.2500)
Tc (0.2500, 0.7500, 0.7500)
Tc (0.7500, 0.2500, 0.7500)
Tc (0.7500, 0.7500, 0.2500)
Ni (0.2500, 0.2500, 0.7500)
Ni (0.2500, 0.7500, 0.2500)
Ni (0.7500, 0.2500, 0.2500)
Ni (0.7500, 0.7500, 0.7500)
Bi (0.0000, 0.0000, 0.5000)
Bi (0.0000, 0.5000, 0.0000)
Bi (0.5000, 0.0000, 0.0000)
Bi (0.5000, 0.5000, 0.5000)



(11)
Compound: Cs2Ag3Bi8Se15
Source: OQMD
Functional: PBE
Structure: optimized geometry

Summary:
As for the total energy: -3.837 eV/atom. As for the space group: No. 58.

Cell: 12.5287 32.4135 4.1800 Å, 90.00 90.00 90.00°
Atoms (fractional coordinates):
Cs (0.2085, 0.2254, 0.0000)
Cs (0.2915, 0.7254, 0.5000)
Cs (0.7085, 0.2746, 0.5000)
Cs (0.7915, 0.7746, 0.0000)
Ag (0.0000, 0.5000, 0.0000)
Ag (0.2129, 0.9662, 0.0000)
Ag (0.2871, 0.4662, 0.5000)
Ag (0.5000, 0.0000, 0.5000)
Ag (0.7129, 0.5338, 0.5000)
Ag (0.7871, 0.0338, 0.0000)
Bi (0.0652, 0.0619, 0.5000)
Bi (0.1093, 0.8412, 0.0000)
Bi (0.1118, 0.3780, 0.0000)
Bi (0.1554, 0.5869, 0.5000)
Bi (0.3446, 0.0869, 0.0000)
Bi (0.3882, 0.8780, 0.5000)
Bi (0.3907, 0.3412, 0.5000)
Bi (0.4348, 0.5619, 0.0000)
Bi (0.5652, 0.4381, 0.0000)
Bi (0.6093, 0.6588, 0.5000)
Bi (0.6118, 0.1220, 0.5000)
Bi (0.6554, 0.9131, 0.0000)
Bi (0.8446, 0.4131, 0.5000)
Bi (0.8882, 0.6220, 0.0000)
Bi (0.8907, 0.1588, 0.0000)
Bi (0.9348, 0.9381, 0.5000)
Se (0.0000, 0.0000, 0.0000)
Se (0.0492, 0.7871, 0.5000)
Se (0.0623, 0.4439, 0.5000)
Se (0.1087, 0.6471, 0.0000)
Se (0.1195, 0.1192, 0.0000)
Se (0.1635, 0.9112, 0.5000)
Se (0.1689, 0.3192, 0.5000)
Se (0.2224, 0.5239, 0.0000)
Se (0.2776, 0.0239, 0.5000)
Se (0.3311, 0.8192, 0.0000)
Se (0.3365, 0.4112, 0.0000)
Se (0.3805, 0.6192, 0.5000)
Se (0.3913, 0.1471, 0.5000)
Se (0.4377, 0.9439, 0.0000)
Se (0.4508, 0.2871, 0.0000)
Se (0.5000, 0.5000, 0.5000)
Se (0.5492, 0.7129, 0.0000)
Se (0.5623, 0.0561, 0.0000)
Se (0.6087, 0.8529, 0.5000)
Se (0.6195, 0.3808, 0.5000)
Se (0.6635, 0.5888, 0.0000)
Se (0.6689, 0.1808, 0.0000)
Se (0.7224, 0.9761, 0.5000)
Se (0.7776, 0.4761, 0.0000)
Se (0.8311, 0.6808, 0.5000)
Se (0.8365, 0.0888, 0.5000)
Se (0.8805, 0.8808, 0.0000)
Se (0.8913, 0.3529, 0.0000)
Se (0.9377, 0.5561, 0.5000)
Se (0.9508, 0.2129, 0.5000)



(12)
Compound: Rb2LiTaF6
Source: OQMD
Functional: PBE
Structure: optimized geometry

Summary:
As for the total energy: -5.367 eV/atom. As for the space group: No. 14.

Cell: 5.7439 5.8097 9.7477 Å, 90.00 123.45 90.00°
Atoms (fractional coordinates):
Rb (0.2400, 0.0138, 0.2486)
Rb (0.2400, 0.4862, 0.7486)
Rb (0.7600, 0.5138, 0.2514)
Rb (0.7600, 0.9862, 0.7514)
Li (0.5000, 0.0000, 0.0000)
Li (0.5000, 0.5000, 0.5000)
Ta (0.0000, 0.0000, 0.5000)
Ta (0.0000, 0.5000, 0.0000)
F (0.2446, 0.2462, 0.9964)
F (0.2446, 0.2538, 0.4964)
F (0.2702, 0.5292, 0.2535)
F (0.2702, 0.9708, 0.7535)
F (0.2759, 0.7479, 0.5190)
F (0.2759, 0.7521, 0.0190)
F (0.7241, 0.2479, 0.9810)
F (0.7241, 0.2521, 0.4810)
F (0.7298, 0.0292, 0.2465)
F (0.7298, 0.4708, 0.7465)
F (0.7554, 0.7462, 0.5036)
F (0.7554, 0.7538, 0.0036)